Zr2GeS2: optimized geometry, PBE.

Space-group type: P4/mbm
Uncorrected formation energy in eV/atom: -1.049

Cell: 7.4213 7.4213 3.3172 Å, 90.00 90.00 90.00°
With the nearest neighbours (Å) after each atom.
Fractional coordinates of all 10 atoms:
1 Ge 0.5000 0.5000 0.0000  4 Zr 2.81
2 S 0.6347 0.8653 0.5000  6 Zr 2.71-2.77, 1 S 2.83
3 Zr 0.1536 0.3464 0.0000  6 S 2.71-2.77, 2 Ge 2.81
4 S 0.8653 0.3653 0.5000  6 Zr 2.71-2.77, 1 S 2.83
5 S 0.3653 0.1347 0.5000  6 Zr 2.71-2.77, 1 S 2.83
6 Zr 0.8464 0.6536 0.0000  6 S 2.71-2.77, 2 Ge 2.81
7 S 0.1347 0.6347 0.5000  6 Zr 2.71-2.77, 1 S 2.83
8 Ge 0.0000 0.0000 0.0000  4 Zr 2.81
9 Zr 0.6536 0.1536 0.0000  6 S 2.71-2.77, 2 Ge 2.81
10 Zr 0.3464 0.8464 0.0000  6 S 2.71-2.77, 2 Ge 2.81